Record 1
The following is a DFT calculation (GGA-PBE) of crystalline SmIn2I5 at its relaxed geometry.

Cell: 14.228 9.721 9.188 Å, 90.00 90.00 90.00°
Space group Pnma (No. 62)
One atom of each set of equivalent atoms:
Sm  0.005  0.250  0.082 x4
In  0.176  0.505  0.558 x8
I  0.005  0.250  0.431 x4
I  0.076  0.546  0.169 x8
I  0.186  0.250  0.882 x4
I  0.210  0.750  0.839 x4

Output
- Uncorrected formation energy: -931 meV per atom
- Total DFT energy (no corrections): -3.175 eV/atom
- Magnetization: 0.000 Bohr magnetons per cell

=====

Record 2
The following is a DFT calculation (GGA-PBE) of crystalline Sm4InI5 at its relaxed geometry.

Cell: 19.505 4.365 9.113 Å, 90.00 101.83 90.00°
Space group C2/m (No. 12)
One atom of each set of equivalent atoms:
Sm  0.001  0.000  0.230 x4
Sm  0.156  0.500  0.074 x4
In  0.000  0.500  0.000 x2
I  0.000  0.500  0.500 x2
I  0.168  0.000  0.331 x4
I  0.171  0.000  0.824 x4

Output
- Uncorrected formation energy: -1046 meV per atom
- Total DFT energy (no corrections): -3.983 eV/atom
- Magnetization: 0.000 Bohr magnetons per cell

=====

Record 3
The following is a DFT calculation (GGA-PBE) of crystalline SmIn5I8 at its relaxed geometry.

Cell: 14.447 10.808 10.229 Å, 90.00 134.50 90.00°
Space group C2 (No. 5)
One atom of each set of equivalent atoms:
Sm  0.000  0.000  0.000 x2
In  0.000  0.172  0.500 x2
In  0.136  0.614  0.898 x4
In  0.235  0.370  0.381 x4
I  0.064  0.257  0.884 x4
I  0.074  0.917  0.783 x4
I  0.176  0.737  0.240 x4
I  0.211  0.575  0.640 x4

Output
- Uncorrected formation energy: -695 meV per atom
- Total DFT energy (no corrections): -2.896 eV/atom
- Magnetization: 0.000 Bohr magnetons per cell

=====

Record 4
The following is a DFT calculation (GGA-PBE) of crystalline Sm2InI at its relaxed geometry.

Cell: 3.9452 3.9452 27.9420 Å, 90.00 90.00 120.00°
Space group R-3m (No. 166, hexagonal axes)
One atom of each set of equivalent atoms:
Sm  0.0000  0.0000  0.2462 x6
In  0.0000  0.0000  0.5000 x3
I  0.0000  0.0000  0.0000 x3

Output
- Uncorrected formation energy: -577 meV per atom
- Total DFT energy (no corrections): -4.008 eV/atom
- Relative energy among the computed polymorphs: 0.28 eV per formula unit
- Magnetization: 0.000 Bohr magnetons per cell

=====

Record 5
The following is a DFT calculation (GGA-PBE) of crystalline Sm2InI3 at its relaxed geometry.

Cell: 20.740 4.193 14.297 Å, 90.00 129.86 90.00°
Space group C2/m (No. 12)
One atom of each set of equivalent atoms:
Sm  0.108  0.000  0.427 x4
Sm  0.126  0.500  0.830 x4
In  0.072  0.000  0.624 x4
I  0.044  0.500  0.216 x4
I  0.179  0.000  0.039 x4
I  0.245  0.500  0.615 x4

Output
- Uncorrected formation energy: -924 meV per atom
- Total DFT energy (no corrections): -3.729 eV/atom
- Magnetization: 0.369 Bohr magnetons per cell

=====

Record 6
The following is a DFT calculation (GGA-PBE) of crystalline Sm7InI12 at its relaxed geometry.

Cell: 16.1199 16.1199 10.6211 Å, 90.00 90.00 120.00°
Space group R-3 (No. 148, hexagonal axes)
One atom of each set of equivalent atoms:
Sm  0.0000  0.0000  0.0000 x3
Sm  0.0494  0.1696  0.3384 x18
In  0.0000  0.0000  0.5000 x3
I  0.0239  0.5885  0.1670 x18
I  0.0530  0.1851  0.8410 x18

Output
- Uncorrected formation energy: -1193 meV per atom
- Total DFT energy (no corrections): -3.912 eV/atom
- Magnetization: 0.001 Bohr magnetons per cell